A relaxed NiWS2O crystal, computed with PBE+U.

Summary:
- theoretical density (Mg/m³) = 7.19
- VASP energy (eV for the cell shown) = -21.14

Unit cell a=4.563 b=4.563 c=3.581 alpha=90.00 beta=90.00 gamma=90.00
Space group P4/mmm (No. 123)
Unique sites:
Ni 0.000 0.000 0.000 [1 per cell]
W 0.500 0.500 0.500 [1 per cell]
S 0.000 0.500 0.000 [2 per cell]
O 0.000 0.000 0.500 [1 per cell]